InPd6Pb2: relaxed, PBE.

Properties
SG: P-62m
E_form (eV/f.u.): -2.63

Unit cell a=3.2383 b=7.6490 c=7.6490 alpha=120.00 beta=90.00 gamma=90.00
Element x y z (fractional)
In (0.5000, 0.0000, 0.0000)
Pd (0.0000, 0.7113, 0.0000)
Pd (0.5000, 0.6336, 0.6336)
Pd (0.5000, 0.0000, 0.3664)
Pd (0.0000, 0.0000, 0.7113)
Pd (0.0000, 0.2887, 0.2887)
Pd (0.5000, 0.3664, 0.0000)
Pb (0.0000, 0.3333, 0.6667)
Pb (0.0000, 0.6667, 0.3333)